## i
Below is an optimized crystal structure of LuPbAuS3, with properties calculated at the PBE level.

a b c (Å): 8.9217 8.9217 8.2379
angles (deg): 102.00 102.00 25.08
Closest atoms and distances in Å follow each position.
Sites, in units of the cell vectors:
Lu 0.1638 0.1638 0.0885  6 S 2.70-2.79
Lu 0.8362 0.8362 0.9115  6 S 2.70-2.79
Pb 0.1321 0.1321 0.5804  7 S 2.97-3.17
Pb 0.8679 0.8679 0.4196  7 S 2.97-3.17
Au 0.4594 0.4594 0.7788  4 S 2.51-2.65
Au 0.5406 0.5406 0.2212  4 S 2.51-2.65
S 0.0000 0.0000 0.0000  4 Au 2.65, 2 Lu 2.79
S 0.3127 0.3127 0.6779  1 Au 2.51, 2 Lu 2.70
S 0.3241 0.3241 0.1325  3 Lu 2.70-2.74
S 0.5000 0.5000 0.5000  2 Au 2.54
S 0.6759 0.6759 0.8675  3 Lu 2.70-2.74
S 0.6873 0.6873 0.3221  1 Au 2.51, 2 Lu 2.70

---

## ii
Below is an optimized crystal structure of LuPbAuS3, with properties calculated at the PBE level.

a b c (Å): 7.6408 3.9428 9.6300
angles (deg): 90.00 107.26 90.00
Closest atoms and distances in Å follow each position.
Sites, in units of the cell vectors:
Lu 0.1886 0.2500 0.1617  6 S 2.66-2.81
Lu 0.8114 0.7500 0.8383  6 S 2.66-2.81
Pb 0.2354 0.7500 0.7085  7 S 3.03-3.14, 1 Au 3.31
Pb 0.7646 0.2500 0.2915  7 S 3.03-3.14, 1 Au 3.31
Au 0.3713 0.7500 0.4130  3 S 2.50-2.54
Au 0.6287 0.2500 0.5870  3 S 2.50-2.54
S 0.0701 0.2500 0.8728  3 Lu 2.66-2.74
S 0.1811 0.2500 0.4520  2 Au 2.54, 1 Lu 2.81
S 0.4344 0.7500 0.1730  1 Au 2.50, 2 Lu 2.70
S 0.5656 0.2500 0.8270  1 Au 2.50, 2 Lu 2.70
S 0.8189 0.7500 0.5480  2 Au 2.54, 1 Lu 2.81
S 0.9299 0.7500 0.1272  3 Lu 2.66-2.74

---

So which one is most stable? That would be ii, about 0.019 eV/atom below the next structure.

---

## i
Below is an optimized crystal structure of LuPbAuS3, with properties calculated at the PBE level.

a b c (Å): 10.4093 3.9431 13.1533
angles (deg): 90.00 90.00 90.00
Closest atoms and distances in Å follow each position.
Sites, in units of the cell vectors:
Lu 0.0190 0.2500 0.2425  6 S 2.71-2.90
Lu 0.4810 0.7500 0.7425  6 S 2.71-2.90
Lu 0.5190 0.2500 0.2575  6 S 2.71-2.90
Lu 0.9810 0.7500 0.7575  6 S 2.71-2.90
Pb 0.2237 0.7500 0.5016  7 S 2.96-3.26
Pb 0.2763 0.2500 0.0016  7 S 2.96-3.26
Pb 0.7237 0.7500 0.9984  7 S 2.96-3.26
Pb 0.7763 0.2500 0.4984  7 S 2.96-3.26
Au 0.2381 0.2500 0.7068  4 S 2.45-2.62
Au 0.2619 0.7500 0.2068  4 S 2.45-2.62
Au 0.7381 0.2500 0.7932  4 S 2.45-2.62
Au 0.7619 0.7500 0.2932  4 S 2.45-2.62
S 0.0261 0.2500 0.6183  1 Au 2.49, 2 Lu 2.73
S 0.0641 0.7500 0.1060  1 Au 2.45, 2 Lu 2.71
S 0.2300 0.7500 0.8376  2 Au 2.62, 2 Lu 2.80-2.90
S 0.2700 0.2500 0.3376  2 Au 2.62, 2 Lu 2.80-2.90
S 0.4359 0.2500 0.6060  1 Au 2.45, 2 Lu 2.71
S 0.4739 0.7500 0.1183  1 Au 2.49, 2 Lu 2.73
S 0.5261 0.2500 0.8817  1 Au 2.49, 2 Lu 2.73
S 0.5641 0.7500 0.3940  1 Au 2.45, 2 Lu 2.71
S 0.7300 0.7500 0.6624  2 Au 2.62, 2 Lu 2.80-2.90
S 0.7700 0.2500 0.1624  2 Au 2.62, 2 Lu 2.80-2.90
S 0.9359 0.2500 0.8940  1 Au 2.45, 2 Lu 2.71
S 0.9739 0.7500 0.3817  1 Au 2.49, 2 Lu 2.73

---

## ii
Below is an optimized crystal structure of LuPbAuS3, with properties calculated at the PBE level.

a b c (Å): 7.4734 7.4734 10.2831
angles (deg): 90.00 90.00 148.74
Closest atoms and distances in Å follow each position.
Sites, in units of the cell vectors:
Lu 0.0000 0.0000 0.0000  6 S 2.69-2.71
Lu 0.0000 0.0000 0.5000  6 S 2.69-2.71
Pb 0.3097 0.6903 0.7500  4 S 2.81-2.97, 2 Au 3.14
Pb 0.6903 0.3097 0.2500  4 S 2.81-2.97, 2 Au 3.14
Au 0.3575 0.6425 0.2500  2 S 2.33
Au 0.6425 0.3575 0.7500  2 S 2.33
S 0.0542 0.9458 0.2500  2 Lu 2.69, 2 Pb 2.81
S 0.3748 0.6252 0.0246  1 Au 2.33
S 0.3748 0.6252 0.4754  1 Au 2.33
S 0.6252 0.3748 0.5246  1 Au 2.33
S 0.6252 0.3748 0.9754  1 Au 2.33
S 0.9458 0.0542 0.7500  2 Lu 2.69, 2 Pb 2.81

---

## iii
Below is an optimized crystal structure of LuPbAuS3, with properties calculated at the PBE level.

a b c (Å): 11.6324 3.9939 12.6869
angles (deg): 90.00 90.00 90.00
Closest atoms and distances in Å follow each position.
Sites, in units of the cell vectors:
Lu 0.0308 0.2500 0.1521  6 S 2.64-2.78
Lu 0.4692 0.7500 0.6521  6 S 2.64-2.78
Lu 0.5308 0.2500 0.3479  6 S 2.64-2.78
Lu 0.9692 0.7500 0.8479  6 S 2.64-2.78
Pb 0.1537 0.2500 0.5560  3 S 2.74-2.86
Pb 0.3463 0.7500 0.0560  3 S 2.74-2.86
Pb 0.6537 0.2500 0.9440  3 S 2.74-2.86
Pb 0.8463 0.7500 0.4440  3 S 2.74-2.86
Au 0.2202 0.7500 0.3688  2 S 2.35
Au 0.2798 0.2500 0.8688  2 S 2.35
Au 0.7202 0.7500 0.1312  2 S 2.35
Au 0.7798 0.2500 0.6312  2 S 2.35
S 0.0335 0.7500 0.2979  1 Au 2.35
S 0.0939 0.2500 0.9404  1 Au 2.35
S 0.2438 0.7500 0.6780  1 Lu 2.64, 2 Pb 2.74
S 0.2562 0.2500 0.1780  1 Lu 2.64, 2 Pb 2.74
S 0.4061 0.7500 0.4404  1 Au 2.35
S 0.4665 0.2500 0.7979  1 Au 2.35
S 0.5335 0.7500 0.2021  1 Au 2.35
S 0.5939 0.2500 0.5596  1 Au 2.35
S 0.7438 0.7500 0.8220  1 Lu 2.64, 2 Pb 2.74
S 0.7562 0.2500 0.3220  1 Lu 2.64, 2 Pb 2.74
S 0.9061 0.7500 0.0596  1 Au 2.35
S 0.9665 0.2500 0.7021  1 Au 2.35

---

So which one is most stable? That would be ii, about 0.064 eV/atom below the next structure.

---

## i
Below is an optimized crystal structure of LuPbAuSe3, with properties calculated at the PBE level.

a b c (Å): 10.8701 4.0903 13.3745
angles (deg): 90.00 90.00 90.00
Closest atoms and distances in Å follow each position.
Sites, in units of the cell vectors:
Lu 0.0260 0.2500 0.2408  6 Se 2.84-2.95
Lu 0.4740 0.7500 0.7408  6 Se 2.84-2.95
Lu 0.5260 0.2500 0.2592  6 Se 2.84-2.95
Lu 0.9740 0.7500 0.7592  6 Se 2.84-2.95
Pb 0.2229 0.7500 0.5041  7 Se 3.10-3.35, 2 Au 3.30
Pb 0.2771 0.2500 0.0041  7 Se 3.10-3.35, 2 Au 3.30
Pb 0.7229 0.7500 0.9959  7 Se 3.10-3.35, 2 Au 3.30
Pb 0.7771 0.2500 0.4959  7 Se 3.10-3.35, 2 Au 3.30
Au 0.2412 0.2500 0.6974  4 Se 2.53-2.75
Au 0.2588 0.7500 0.1974  4 Se 2.53-2.75
Au 0.7412 0.2500 0.8026  4 Se 2.53-2.75
Au 0.7588 0.7500 0.3026  4 Se 2.53-2.75
Se 0.0231 0.2500 0.6169  1 Au 2.60, 2 Lu 2.84
Se 0.0612 0.7500 0.0968  1 Au 2.53, 2 Lu 2.84
Se 0.2287 0.7500 0.8346  2 Au 2.75, 2 Lu 2.95
Se 0.2713 0.2500 0.3346  2 Au 2.75, 2 Lu 2.95
Se 0.4388 0.2500 0.5968  1 Au 2.53, 2 Lu 2.84
Se 0.4769 0.7500 0.1169  1 Au 2.60, 2 Lu 2.84
Se 0.5231 0.2500 0.8831  1 Au 2.60, 2 Lu 2.84
Se 0.5612 0.7500 0.4032  1 Au 2.53, 2 Lu 2.84
Se 0.7287 0.7500 0.6654  2 Au 2.75, 2 Lu 2.95
Se 0.7713 0.2500 0.1654  2 Au 2.75, 2 Lu 2.95
Se 0.9388 0.2500 0.9032  1 Au 2.53, 2 Lu 2.84
Se 0.9769 0.7500 0.3831  1 Au 2.60, 2 Lu 2.84

---

## ii
Below is an optimized crystal structure of LuPbAuSe3, with properties calculated at the PBE level.

a b c (Å): 7.9767 4.0537 9.7811
angles (deg): 90.00 105.31 90.00
Closest atoms and distances in Å follow each position.
Sites, in units of the cell vectors:
Lu 0.1803 0.2500 0.1656  6 Se 2.83-2.86
Lu 0.8197 0.7500 0.8344  6 Se 2.83-2.86
Pb 0.2763 0.7500 0.7162  6 Se 3.14-3.17, 1 Au 3.47
Pb 0.7237 0.2500 0.2838  6 Se 3.14-3.17, 1 Au 3.47
Au 0.4017 0.7500 0.4026  3 Se 2.59-2.72
Au 0.5983 0.2500 0.5974  3 Se 2.59-2.72
Se 0.0749 0.2500 0.8646  3 Lu 2.83-2.84, 2 Pb 3.17
Se 0.2044 0.2500 0.4624  2 Au 2.72, 1 Lu 2.86
Se 0.4224 0.7500 0.1426  1 Au 2.59, 2 Lu 2.85
Se 0.5776 0.2500 0.8574  1 Au 2.59, 2 Lu 2.85
Se 0.7956 0.7500 0.5376  2 Au 2.72, 1 Lu 2.86
Se 0.9251 0.7500 0.1354  3 Lu 2.83-2.84, 2 Pb 3.17

---

So which one is most stable? That would be ii, about 0.018 eV/atom below the next structure.

---

## i
Below is an optimized crystal structure of LuSnAuS3, with properties calculated at the PBE level.

a b c (Å): 9.9675 3.9583 14.4723
angles (deg): 90.00 90.00 90.00
Closest atoms and distances in Å follow each position.
Sites, in units of the cell vectors:
Lu 0.1651 0.2500 0.0383  6 S 2.66-2.77
Lu 0.3349 0.7500 0.5383  6 S 2.66-2.77
Lu 0.6651 0.2500 0.4617  6 S 2.66-2.77
Lu 0.8349 0.7500 0.9617  6 S 2.66-2.77
Sn 0.0185 0.2500 0.7036  3 S 2.70-2.75
Sn 0.4815 0.7500 0.2036  3 S 2.70-2.75
Sn 0.5185 0.2500 0.7964  3 S 2.70-2.75
Sn 0.9815 0.7500 0.2964  3 S 2.70-2.75
Au 0.1986 0.2500 0.3529  2 S 2.32-2.33
Au 0.3014 0.7500 0.8529  2 S 2.32-2.33
Au 0.6986 0.2500 0.1471  2 S 2.32-2.33
Au 0.8014 0.7500 0.6471  2 S 2.32-2.33
S 0.0040 0.7500 0.1070  3 Lu 2.69-2.74, 1 Sn 2.75
S 0.1606 0.2500 0.5112  1 Au 2.32
S 0.2032 0.7500 0.7066  1 Au 2.33
S 0.2968 0.2500 0.2066  1 Au 2.33
S 0.3394 0.7500 0.0112  1 Au 2.32
S 0.4960 0.2500 0.6070  3 Lu 2.69-2.74, 1 Sn 2.75
S 0.5040 0.7500 0.3930  3 Lu 2.69-2.74, 1 Sn 2.75
S 0.6606 0.2500 0.9888  1 Au 2.32
S 0.7032 0.7500 0.7934  1 Au 2.33
S 0.7968 0.2500 0.2934  1 Au 2.33
S 0.8394 0.7500 0.4888  1 Au 2.32
S 0.9960 0.2500 0.8930  3 Lu 2.69-2.74, 1 Sn 2.75

---

## ii
Below is an optimized crystal structure of LuSnAuS3, with properties calculated at the PBE level.

a b c (Å): 7.3412 7.3412 10.2036
angles (deg): 90.00 90.00 148.52
Closest atoms and distances in Å follow each position.
Sites, in units of the cell vectors:
Lu 0.0000 0.0000 0.0000  6 S 2.68-2.70
Lu 0.0000 0.0000 0.5000  6 S 2.68-2.70
Sn 0.3103 0.6897 0.7500  4 S 2.72-2.90, 2 Au 3.00
Sn 0.6897 0.3103 0.2500  4 S 2.72-2.90, 2 Au 3.00
Au 0.3488 0.6512 0.2500  2 S 2.35
Au 0.6512 0.3488 0.7500  2 S 2.35
S 0.0582 0.9418 0.2500  2 Lu 2.68, 2 Sn 2.72
S 0.3716 0.6284 0.0215  1 Au 2.35
S 0.3716 0.6284 0.4785  1 Au 2.35
S 0.6284 0.3716 0.5215  1 Au 2.35
S 0.6284 0.3716 0.9785  1 Au 2.35
S 0.9418 0.0582 0.7500  2 Lu 2.68, 2 Sn 2.72

---

## iii
Below is an optimized crystal structure of LuSnAuS3, with properties calculated at the PBE level.

a b c (Å): 11.4974 3.9111 12.7773
angles (deg): 90.00 90.00 90.00
Closest atoms and distances in Å follow each position.
Sites, in units of the cell vectors:
Lu 0.0261 0.2500 0.1494  6 S 2.68-2.75
Lu 0.4739 0.7500 0.6494  6 S 2.68-2.75
Lu 0.5261 0.2500 0.3506  6 S 2.68-2.75
Lu 0.9739 0.7500 0.8506  6 S 2.68-2.75
Sn 0.1519 0.2500 0.5665  3 S 2.65-2.71
Sn 0.3481 0.7500 0.0665  3 S 2.65-2.71
Sn 0.6519 0.2500 0.9335  3 S 2.65-2.71
Sn 0.8481 0.7500 0.4335  3 S 2.65-2.71
Au 0.2092 0.7500 0.3813  2 S 2.34-2.36
Au 0.2908 0.2500 0.8813  2 S 2.34-2.36
Au 0.7092 0.7500 0.1187  2 S 2.34-2.36
Au 0.7908 0.2500 0.6187  2 S 2.34-2.36
S 0.0275 0.7500 0.2960  1 Au 2.36
S 0.0996 0.2500 0.9443  1 Au 2.34
S 0.2437 0.7500 0.6799  2 Sn 2.65, 1 Lu 2.68
S 0.2563 0.2500 0.1799  2 Sn 2.65, 1 Lu 2.68
S 0.4004 0.7500 0.4443  1 Au 2.34
S 0.4725 0.2500 0.7960  1 Au 2.36
S 0.5275 0.7500 0.2040  1 Au 2.36
S 0.5996 0.2500 0.5557  1 Au 2.34
S 0.7437 0.7500 0.8201  2 Sn 2.65, 1 Lu 2.68
S 0.7563 0.2500 0.3201  2 Sn 2.65, 1 Lu 2.68
S 0.9004 0.7500 0.0557  1 Au 2.34
S 0.9725 0.2500 0.7040  1 Au 2.36

---

## iv
Below is an optimized crystal structure of LuSnAuS3, with properties calculated at the PBE level.

a b c (Å): 14.2885 4.0024 10.8660
angles (deg): 90.00 90.00 90.00
Closest atoms and distances in Å follow each position.
Sites, in units of the cell vectors:
Lu 0.0100 0.2500 0.1512  6 S 2.64-2.72
Lu 0.4900 0.7500 0.6512  6 S 2.64-2.72
Lu 0.5100 0.2500 0.3488  6 S 2.64-2.72
Lu 0.9900 0.7500 0.8488  6 S 2.64-2.72
Sn 0.2440 0.2500 0.9186  3 S 2.74-2.81
Sn 0.2560 0.7500 0.4186  3 S 2.74-2.81
Sn 0.7440 0.2500 0.5814  3 S 2.74-2.81
Sn 0.7560 0.7500 0.0814  3 S 2.74-2.81
Au 0.1021 0.2500 0.5385  2 S 2.32-2.36
Au 0.3979 0.7500 0.0385  2 S 2.32-2.36
Au 0.6021 0.2500 0.9615  2 S 2.32-2.36
Au 0.8979 0.7500 0.4615  2 S 2.32-2.36
S 0.0939 0.2500 0.7515  1 Au 2.32
S 0.1038 0.7500 0.0403  3 Lu 2.64-2.69
S 0.1439 0.2500 0.3286  1 Au 2.36
S 0.3561 0.7500 0.8286  1 Au 2.36
S 0.3962 0.2500 0.5403  3 Lu 2.64-2.69
S 0.4061 0.7500 0.2515  1 Au 2.32
S 0.5939 0.2500 0.7485  1 Au 2.32
S 0.6038 0.7500 0.4597  3 Lu 2.64-2.69
S 0.6439 0.2500 0.1714  1 Au 2.36
S 0.8561 0.7500 0.6714  1 Au 2.36
S 0.8962 0.2500 0.9597  3 Lu 2.64-2.69
S 0.9061 0.7500 0.2485  1 Au 2.32

---

So which one is most stable? That would be i, about 0.011 eV/atom below the next structure.

---

## i
Below is an optimized crystal structure of LuSnAuS3, with properties calculated at the PBE level.

a b c (Å): 8.8495 8.8495 8.1958
angles (deg): 102.65 102.65 25.04
Closest atoms and distances in Å follow each position.
Sites, in units of the cell vectors:
Lu 0.1642 0.1642 0.0903  6 S 2.69-2.77
Lu 0.8358 0.8358 0.9097  6 S 2.69-2.77
Sn 0.1320 0.1320 0.5816  7 S 2.94-3.16
Sn 0.8680 0.8680 0.4184  7 S 2.94-3.16
Au 0.4582 0.4582 0.7764  4 S 2.51-2.64
Au 0.5418 0.5418 0.2236  4 S 2.51-2.64
S 0.0000 0.0000 0.0000  4 Au 2.64, 2 Lu 2.77
S 0.3100 0.3100 0.6733  1 Au 2.51, 2 Lu 2.69
S 0.3254 0.3254 0.1375  3 Lu 2.71-2.73, 2 Sn 2.96
S 0.5000 0.5000 0.5000  2 Au 2.53
S 0.6746 0.6746 0.8625  3 Lu 2.71-2.73, 2 Sn 2.96
S 0.6900 0.6900 0.3267  1 Au 2.51, 2 Lu 2.69

---

## ii
Below is an optimized crystal structure of LuSnAuS3, with properties calculated at the PBE level.

a b c (Å): 10.1910 3.9788 14.2557
angles (deg): 90.00 90.00 90.00
Closest atoms and distances in Å follow each position.
Sites, in units of the cell vectors:
Lu 0.0165 0.2500 0.2423  6 S 2.68-2.72
Lu 0.4835 0.7500 0.7423  6 S 2.68-2.72
Lu 0.5165 0.2500 0.2577  6 S 2.68-2.72
Lu 0.9835 0.7500 0.7577  6 S 2.68-2.72
Sn 0.2455 0.7500 0.4386  4 S 2.72-3.03, 2 Au 3.02
Sn 0.2545 0.2500 0.9386  4 S 2.72-3.03, 2 Au 3.02
Sn 0.7455 0.7500 0.0614  4 S 2.72-3.03, 2 Au 3.02
Sn 0.7545 0.2500 0.5614  4 S 2.72-3.03, 2 Au 3.02
Au 0.2387 0.2500 0.5979  2 S 2.35
Au 0.2613 0.7500 0.0979  2 S 2.35
Au 0.7387 0.2500 0.9021  2 S 2.35
Au 0.7613 0.7500 0.4021  2 S 2.35
S 0.0126 0.2500 0.6293  1 Au 2.35
S 0.0325 0.7500 0.1168  1 Au 2.35
S 0.2382 0.7500 0.8094  2 Lu 2.68-2.70, 2 Sn 2.72
S 0.2618 0.2500 0.3094  2 Lu 2.68-2.70, 2 Sn 2.72
S 0.4675 0.2500 0.6168  1 Au 2.35
S 0.4874 0.7500 0.1293  1 Au 2.35
S 0.5126 0.2500 0.8707  1 Au 2.35
S 0.5325 0.7500 0.3832  1 Au 2.35
S 0.7382 0.7500 0.6906  2 Lu 2.68-2.70, 2 Sn 2.72
S 0.7618 0.2500 0.1906  2 Lu 2.68-2.70, 2 Sn 2.72
S 0.9675 0.2500 0.8832  1 Au 2.35
S 0.9874 0.7500 0.3707  1 Au 2.35

---

## iii
Below is an optimized crystal structure of LuSnAuS3, with properties calculated at the PBE level.

a b c (Å): 7.6379 3.9430 9.5439
angles (deg): 90.00 107.68 90.00
Closest atoms and distances in Å follow each position.
Sites, in units of the cell vectors:
Lu 0.1946 0.2500 0.1642  6 S 2.66-2.84
Lu 0.8054 0.7500 0.8358  6 S 2.66-2.84
Sn 0.2163 0.7500 0.7079  7 S 2.88-3.21
Sn 0.7837 0.2500 0.2921  7 S 2.88-3.21
Au 0.3634 0.7500 0.4221  3 S 2.50-2.54
Au 0.6366 0.2500 0.5779  3 S 2.50-2.54
S 0.0714 0.2500 0.8716  3 Lu 2.66-2.78, 2 Sn 2.93
S 0.1695 0.2500 0.4550  2 Au 2.54, 1 Lu 2.84
S 0.4366 0.7500 0.1834  1 Au 2.50, 2 Lu 2.67
S 0.5634 0.2500 0.8166  1 Au 2.50, 2 Lu 2.67
S 0.8305 0.7500 0.5450  2 Au 2.54, 1 Lu 2.84
S 0.9286 0.7500 0.1284  3 Lu 2.66-2.78, 2 Sn 2.93

---

So which one is most stable? That would be ii, about 0.110 eV/atom below the next structure.